No. 1
TlSn3F6, relaxed, DFT GGA-PBE; crystal system = monoclinic; electronic total energy = -4.5102 eV/atom; space group = P2_1/m (11)
1.0
9.990 0.000 0.000
0.000 3.689 0.000
-4.100 0.000 11.562
Tl Sn F
2 6 12
direct
0.152 0.250 0.065 Tl
0.848 0.750 0.935 Tl
0.049 0.250 0.676 Sn
0.316 0.250 0.382 Sn
0.474 0.750 0.854 Sn
0.526 0.250 0.146 Sn
0.684 0.750 0.618 Sn
0.951 0.750 0.324 Sn
0.086 0.750 0.788 F
0.139 0.250 0.442 F
0.141 0.750 0.275 F
0.328 0.250 0.800 F
0.381 0.750 0.498 F
0.405 0.750 0.003 F
0.595 0.250 0.997 F
0.619 0.250 0.502 F
0.672 0.750 0.200 F
0.859 0.250 0.725 F
0.861 0.750 0.558 F
0.914 0.250 0.212 F


No. 2
TlSnF, relaxed, DFT GGA-PBE; crystal system = trigonal; offset from the most stable computed form = 23 kJ/mol of formula units; electronic total energy = -3.6230 eV/atom; space group = P3m1 (156)
1.0
3.352 0.000 0.000
-1.676 2.903 0.000
0.000 0.000 7.097
Tl Sn F
1 1 1
direct
0.000 0.000 0.000 Tl
0.333 0.667 0.567 Sn
0.667 0.333 0.323 F


No. 3
TlSn2F8, relaxed, DFT GGA-PBE; crystal system = monoclinic; offset from the most stable computed form = 49 kJ/mol of formula units; electronic total energy = -4.5231 eV/atom; space group = C2/m (12)
1.0
5.058 -3.369 0.000
5.058 3.369 0.000
-0.113 0.000 5.199
Tl Sn F
1 2 8
direct
0.000 0.000 0.000 Tl
0.323 0.323 0.546 Sn
0.677 0.677 0.454 Sn
0.041 0.667 0.578 F
0.259 0.259 0.905 F
0.333 0.959 0.422 F
0.473 0.473 0.267 F
0.527 0.527 0.733 F
0.667 0.041 0.578 F
0.741 0.741 0.095 F
0.959 0.333 0.422 F


No. 4
Tl2Sn2F, relaxed, DFT GGA-PBE; crystal system = tetragonal; offset from the most stable computed form = 0 kJ/mol of formula units; electronic total energy = -3.3732 eV/atom; space group = P4/mbm (127)
1.0
6.772 0.000 0.000
0.000 6.772 0.000
0.000 0.000 5.905
Tl Sn F
4 4 2
direct
0.165 0.335 0.000 Tl
0.335 0.835 0.000 Tl
0.665 0.165 0.000 Tl
0.835 0.665 0.000 Tl
0.222 0.722 0.500 Sn
0.278 0.222 0.500 Sn
0.722 0.778 0.500 Sn
0.778 0.278 0.500 Sn
0.000 0.000 0.000 F
0.500 0.500 0.000 F


Number 1: formation energy from raw total energies -1950 meV per atom. Number 2: formation energy from raw total energies -876 meV per atom. Number 3: formation energy from raw total energies -2219 meV per atom. Number 4: formation energy from raw total energies -451 meV per atom.